1.
{"formula": "Li2H6F", "functional": "PBE", "state": "relaxed", "cell": [[2.896, 0.000, 0.000], [-1.167, 2.830, 0.000], [-0.558, -1.546, 7.306]], "species": ["Li", "Li", "H", "H", "H", "H", "H", "H", "F"], "fractional_positions": [[0.178, 0.351, 0.162], [0.822, 0.649, 0.838], [0.123, 0.869, 0.332], [0.222, 0.484, 0.661], [0.474, 0.187, 0.344], [0.526, 0.813, 0.656], [0.778, 0.516, 0.339], [0.877, 0.131, 0.668], [0.500, 0.000, 0.000]], "magnetic_moment_mub_per_cell": 0.0, "total_energy_ev_per_cell": -29.82, "mass_density_g_cm3": 1.1}

---

2.
{"formula": "Li3H2F", "functional": "PBE", "state": "relaxed", "cell": [[8.500, 0.000, 0.000], [0.000, 2.969, 0.000], [0.000, 0.000, 10.184]], "species": ["Li", "Li", "Li", "Li", "Li", "Li", "Li", "Li", "Li", "Li", "Li", "Li", "H", "H", "H", "H", "H", "H", "H", "H", "F", "F", "F", "F"], "fractional_positions": [[0.055, 0.250, 0.095], [0.109, 0.750, 0.555], [0.243, 0.750, 0.311], [0.257, 0.250, 0.811], [0.391, 0.250, 0.055], [0.445, 0.750, 0.595], [0.555, 0.250, 0.405], [0.609, 0.750, 0.945], [0.743, 0.750, 0.189], [0.757, 0.250, 0.689], [0.891, 0.250, 0.445], [0.945, 0.750, 0.905], [0.069, 0.250, 0.905], [0.115, 0.250, 0.437], [0.385, 0.750, 0.937], [0.431, 0.750, 0.405], [0.569, 0.250, 0.595], [0.615, 0.250, 0.063], [0.885, 0.750, 0.563], [0.931, 0.750, 0.095], [0.243, 0.250, 0.188], [0.257, 0.750, 0.688], [0.743, 0.250, 0.312], [0.757, 0.750, 0.812]], "magnetic_moment_mub_per_cell": 0.0, "total_energy_ev_per_cell": -85.74, "mass_density_g_cm3": 1.1}